No. 1
Computed, not measured: a crystal of TcOs2Se relaxed with PBEsol at the SCAN level of DFT.

Lattice parameters (Å, degrees): 9.523 2.826 4.380 90.00 92.01 90.00
Element x y z (fractional)
1 Tc 0.000 0.000 0.000
2 Tc 0.500 0.500 0.000
3 Os 0.222 0.500 0.235
4 Os 0.278 0.000 0.765
5 Os 0.722 0.000 0.235
6 Os 0.778 0.500 0.765
7 Se 0.000 0.500 0.500
8 Se 0.500 0.000 0.500

---

No. 2
Computed, not measured: a crystal of TcOs2Se relaxed with PBEsol at the SCAN level of DFT.

Lattice parameters (Å, degrees): 2.843 3.858 5.398 90.00 90.00 90.00
Element x y z (fractional)
1 Tc 0.000 0.000 0.000
2 Os 0.000 0.000 0.503
3 Os 0.500 0.500 0.326
4 Se 0.500 0.500 0.841

---

No. 3
Computed, not measured: a crystal of TcOsSe2 relaxed with PBEsol at the SCAN level of DFT.

Lattice parameters (Å, degrees): 3.027 3.027 24.968 90.00 90.00 120.00
Element x y z (fractional)
1 Tc 0.000 0.000 0.000
2 Tc 0.333 0.667 0.667
3 Tc 0.667 0.333 0.333
4 Os 0.000 0.000 0.500
5 Os 0.333 0.667 0.167
6 Os 0.667 0.333 0.833
7 Se 0.000 0.000 0.093
8 Se 0.000 0.000 0.907
9 Se 0.333 0.667 0.574
10 Se 0.333 0.667 0.760
11 Se 0.667 0.333 0.240
12 Se 0.667 0.333 0.426

---

No. 4
Computed, not measured: a crystal of Te2OsSe relaxed with PBEsol at the SCAN level of DFT.

Lattice parameters (Å, degrees): 5.468 5.468 5.766 90.00 90.00 90.00
Element x y z (fractional)
1 Te 0.000 0.500 0.000
2 Te 0.000 0.500 0.500
3 Te 0.500 0.000 0.000
4 Te 0.500 0.000 0.500
5 Os 0.000 0.000 0.000
6 Os 0.500 0.500 0.500
7 Se 0.000 0.000 0.500
8 Se 0.500 0.500 0.000

---

No. 5
Computed, not measured: a crystal of Te2OsSe relaxed with PBEsol at the SCAN level of DFT.

Lattice parameters (Å, degrees): 3.939 3.939 23.957 90.00 90.00 120.00
Element x y z (fractional)
1 Te 0.000 0.000 0.111
2 Te 0.000 0.000 0.889
3 Te 0.333 0.667 0.556
4 Te 0.333 0.667 0.777
5 Te 0.667 0.333 0.223
6 Te 0.667 0.333 0.444
7 Os 0.000 0.000 0.500
8 Os 0.333 0.667 0.167
9 Os 0.667 0.333 0.833
10 Se 0.000 0.000 0.000
11 Se 0.333 0.667 0.667
12 Se 0.667 0.333 0.333

---

No. 6
Computed, not measured: a crystal of Te2OsSe relaxed with PBEsol at the SCAN level of DFT.

Lattice parameters (Å, degrees): 3.051 3.051 9.721 90.00 90.00 90.00
Element x y z (fractional)
1 Te 0.000 0.000 0.000
2 Te 0.500 0.500 0.331
3 Os 0.000 0.000 0.529
4 Se 0.500 0.500 0.677

---

No. 7
Computed, not measured: a crystal of TlOsSe2 relaxed with PBEsol at the SCAN level of DFT.

Lattice parameters (Å, degrees): 3.715 4.465 11.535 90.00 90.00 90.00
Element x y z (fractional)
1 Tl 0.000 0.000 0.000
2 Tl 0.000 0.500 0.500
3 Os 0.500 0.000 0.796
4 Os 0.500 0.500 0.296
5 Se 0.000 0.000 0.670
6 Se 0.000 0.500 0.170
7 Se 0.500 0.000 0.374
8 Se 0.500 0.500 0.874

Polymorph energy (0 for the lowest one)   0.0 kJ per mole of atoms

---

No. 8
Computed, not measured: a crystal of TlOsSe2 relaxed with PBEsol at the SCAN level of DFT.

Lattice parameters (Å, degrees): 3.012 3.012 9.103 90.00 90.00 90.00
Element x y z (fractional)
1 Tl 0.000 0.000 0.000
2 Os 0.500 0.500 0.261
3 Se 0.000 0.000 0.400
4 Se 0.500 0.500 0.721

Polymorph energy (0 for the lowest one)   25.9 kJ per mole of atoms

---

No. 9
Computed, not measured: a crystal of TlOsSe2 relaxed with PBEsol at the SCAN level of DFT.

Lattice parameters (Å, degrees): 3.070 3.070 8.524 90.00 90.00 90.00
Element x y z (fractional)
1 Tl 0.000 0.000 0.000
2 Os 0.000 0.000 0.500
3 Se 0.500 0.500 0.320
4 Se 0.500 0.500 0.680

Polymorph energy (0 for the lowest one)   23.5 kJ per mole of atoms

---

No. 10
Computed, not measured: a crystal of Tl2OsSe relaxed with PBEsol at the SCAN level of DFT.

Lattice parameters (Å, degrees): 4.439 4.439 8.091 90.00 90.00 90.00
Element x y z (fractional)
1 Tl 0.000 0.000 0.000
2 Tl 0.000 0.500 0.250
3 Tl 0.500 0.000 0.750
4 Tl 0.500 0.500 0.500
5 Os 0.000 0.000 0.500
6 Os 0.500 0.500 0.000
7 Se 0.000 0.500 0.750
8 Se 0.500 0.000 0.250

---

No. 11
Computed, not measured: a crystal of TlOsSe2 relaxed with PBEsol at the SCAN level of DFT.

Lattice parameters (Å, degrees): 5.685 7.830 3.356 90.00 90.00 90.00
Element x y z (fractional)
1 Tl 0.000 0.000 0.000
2 Tl 0.500 0.500 0.000
3 Os 0.000 0.500 0.000
4 Os 0.500 0.000 0.000
5 Se 0.250 0.250 0.500
6 Se 0.250 0.750 0.500
7 Se 0.750 0.250 0.500
8 Se 0.750 0.750 0.500

Polymorph energy (0 for the lowest one)   86.6 kJ per mole of atoms

---

No. 12
Computed, not measured: a crystal of Os2WSe relaxed with PBEsol at the SCAN level of DFT.

Lattice parameters (Å, degrees): 2.943 4.435 8.972 90.00 90.00 90.00
Element x y z (fractional)
1 Os 0.000 0.000 0.000
2 Os 0.000 0.500 0.226
3 Os 0.500 0.000 0.726
4 Os 0.500 0.500 0.500
5 W 0.000 0.000 0.453
6 W 0.500 0.500 0.953
7 Se 0.000 0.500 0.721
8 Se 0.500 0.000 0.221

---

Energy relative to the elements, uncorrected for the records above, in order: 10.07; 12.94; 16.12; 14.55; 4.76; 8.35; 2.81; 8.99; 8.44; 24.34; 23.52; 13.09 kcal/mol of atoms
Magnetization for the records above, in order: 0.00; 0.00; 0.00; 0.00; 0.00; 0.00; 0.00; 0.00; 0.00; 0.00; 0.00; 0.00 μB/cell
Calculated density for the records above, in order: 15.71; 15.63; 11.22; 10.10; 8.11; 9.62; 9.59; 11.11; 11.42; 14.12; 12.29; 18.24 g/cm³